! K2MnF, relaxed, DFT PBE+U; values from VASP
! Final energy (eV per atom): -3.681
! D(E_F) (states/eV per cell): 3.7
&SYSTEM
  ibrav = 0, nat = 8, ntyp = 3
/
ATOMIC_SPECIES
K 39.10 K.upf
F 19.00 F.upf
Mn 54.94 Mn.upf
ATOMIC_POSITIONS crystal
K 0.491 0.125 0.250
K 0.259 0.625 0.250
K 0.875 0.741 0.750
K 0.375 0.509 0.750
F 0.250 0.750 0.500
F 0.500 0.500 0.000
Mn 0.000 0.000 0.000
Mn 0.750 0.250 0.500
CELL_PARAMETERS angstrom
-5.549 -4.028 4.034
-3.228 -2.419 -6.856
-1.484 -7.193 -1.379